Compound: BePC
Source: Alexandria via LeMat-Bulk
Functional: PBE
Structure: optimized geometry

Cell and atoms, written as extended XYZ:
```
6
Lattice="2.2271 -3.9544 0.0000 2.2271 3.9544 0.0000 -1.9012 0.0000 3.9625" Properties=species:S:1:pos:R:3 pbc="T T T"
Be 1.2765 3.8077 1.9812
Be 2.2271 -3.8077 0.0000
P 0.0234 1.1892 3.4174
P 0.9740 -1.1892 1.4362
C 3.1362 1.1404 0.7507
C 2.1856 -1.1404 2.7319
```

Computed properties:
energy of formation from the pure elements	0.249	eV per atom
symmetry	Cc, No. 9